Record 1
# Cd3W

A geometry-optimized Cd3W structure (GGA-PBE, Alexandria).

Properties
ΔE to the lowest computed polymorph	544	meV/atom
spin magnetization	0.000	μB per formula unit
ΔE_f	0.9289	eV per atom
Fermi-level density of states	4.77	states/eV per cell

Cell lengths 5.4549, 5.4549, 5.4549 Å; angles 90.00, 90.00, 90.00 degrees
Fractional positions:
Cd1 0.0000 0.2500 0.5000
Cd2 0.0000 0.7500 0.5000
Cd3 0.2500 0.5000 0.0000
Cd4 0.5000 0.0000 0.2500
Cd5 0.5000 0.0000 0.7500
Cd6 0.7500 0.5000 0.0000
W1 0.0000 0.0000 0.0000
W2 0.5000 0.5000 0.5000

Record 2
# PrZnBiAu

A geometry-optimized PrZnBiAu structure (GGA-PBE, Alexandria).

Properties
spin magnetization	0.000	μB per formula unit
ΔE_f	-0.4188	eV per atom
Fermi-level density of states	2.09	states/eV per cell

Cell lengths 5.1858, 5.1858, 5.1858 Å; angles 60.00, 60.00, 60.00 degrees
Fractional positions:
Pr1 0.7500 0.7500 0.7500
Zn1 0.0000 0.0000 0.0000
Au1 0.5000 0.5000 0.5000
Bi1 0.2500 0.2500 0.2500

Record 3
# Cs2RbPtBr

A geometry-optimized Cs2RbPtBr structure (GGA-PBE, Alexandria).

Properties
formation energy without anion corrections	-0.601	eV/atom
spin magnetization	0.000	μB per formula unit

Cell lengths 6.5609, 6.5609, 6.3286 Å; angles 90.00, 90.00, 90.00 degrees
Fractional positions:
Cs1 0.0000 0.5000 0.0000
Cs2 0.5000 0.0000 0.0000
Br1 0.5000 0.5000 0.5000
Rb1 0.0000 0.0000 0.5000
Pt1 0.0000 0.0000 0.0000

Record 4
# TlNiP2

A geometry-optimized TlNiP2 structure (GGA-PBE, Alexandria).

Properties
ΔE to the lowest computed polymorph	630	meV/atom
spin magnetization	0.000	μB per formula unit
ΔE_f	0.5107	eV per atom
Fermi-level density of states	3.22	states/eV per cell

Cell lengths 4.4996, 4.4996, 4.5405 Å; angles 70.60, 70.60, 108.69 degrees
Fractional positions:
Ni1 0.0000 0.5000 0.5000
P1 0.0000 0.0000 0.0000
P2 0.5000 0.5000 0.0000
Tl1 0.5000 0.0000 0.5000

Record 5
# BeCdPt2

A geometry-optimized BeCdPt2 structure (GGA-PBE, Alexandria).

Properties
ΔE to the lowest computed polymorph	538	meV/atom
spin magnetization	0.000	μB per formula unit
ΔE_f	-0.0225	eV per atom
Fermi-level density of states	1.91	states/eV per cell

Cell lengths 5.7137, 5.7137, 5.7137 Å; angles 55.39, 133.56, 151.52 degrees
Fractional positions:
Be1 0.0000 0.0000 0.0000
Pt1 0.0000 0.2080 0.2080
Pt2 0.0000 0.7920 0.7920
Cd1 0.0000 0.5000 0.5000

Record 6
# Ac2Nd8Tm

A geometry-optimized Ac2Nd8Tm structure (GGA-PBE, Alexandria).

Properties
ΔE to the lowest computed polymorph	29	meV/atom
spin magnetization	0.000	μB per formula unit
ΔE_f	0.1887	eV per atom
Fermi-level density of states	16.63	states/eV per cell

Cell lengths 5.7999, 10.6523, 10.6523 Å; angles 39.32, 93.29, 93.29 degrees
Fractional positions:
Ac1 0.7411 0.2809 0.2809
Ac2 0.2589 0.7191 0.7191
Nd1 0.2674 0.1413 0.6163
Nd2 0.2674 0.6163 0.1413
Nd3 0.7326 0.8587 0.3837
Nd4 0.2335 0.5445 0.5445
Nd5 0.7326 0.3837 0.8587
Nd6 0.2231 0.1751 0.1751
Nd7 0.7769 0.8249 0.8249
Nd8 0.7665 0.4555 0.4555
Tm1 0.0000 0.0000 0.0000

Record 7
# MnCoIr2

A geometry-optimized MnCoIr2 structure (GGA-PBE, Alexandria).

Properties
spin magnetization	5.196	μB per formula unit
ΔE_f	0.2290	eV per atom
Fermi-level density of states	6.11	states/eV per cell

Cell lengths 2.6730, 2.6730, 8.6932 Å; angles 90.00, 90.00, 118.10 degrees
Each line ends with the local moment (μB).
Fractional positions:
Co1 0.5000 0.5000 0.7390  1.76
Ir1 0.0000 0.0000 0.9875  0.29
Ir2 0.5000 0.5000 0.2632  0.14
Mn1 0.0000 0.0000 0.5102  2.92

Record 8
# ZnFeMo2

A geometry-optimized ZnFeMo2 structure (GGA-PBE, Alexandria).

Properties
spin magnetization	2.043	μB per formula unit
ΔE_f	0.2194	eV per atom
Fermi-level density of states	3.34	states/eV per cell

Cell lengths 2.5900, 4.1047, 5.4582 Å; angles 90.00, 90.00, 90.00 degrees
Each line ends with the local moment (μB).
Fractional positions:
Fe1 0.5000 0.5000 0.7369  2.18
Mo1 0.0000 0.0000 0.9954  -0.04
Mo2 0.5000 0.5000 0.2571  -0.06
Zn1 0.0000 0.0000 0.5106  -0.02